Compound: ScBe9Os2
Source: Alexandria
Functional: PBE
Structure: relaxed

The structure in POSCAR format:
```
ScBe9Os2
1.0
4.387 0.000 0.000
-2.194 3.799 0.000
0.000 0.000 14.077
Sc Be Os
2 18 4
direct
0.333 0.667 0.250 Sc
0.667 0.333 0.750 Sc
0.000 0.000 0.000 Be
0.000 0.000 0.250 Be
0.000 0.000 0.500 Be
0.000 0.000 0.750 Be
0.170 0.339 0.620 Be
0.170 0.339 0.880 Be
0.170 0.830 0.620 Be
0.170 0.830 0.880 Be
0.333 0.667 0.750 Be
0.339 0.170 0.120 Be
0.339 0.170 0.380 Be
0.661 0.830 0.620 Be
0.661 0.830 0.880 Be
0.667 0.333 0.250 Be
0.830 0.170 0.120 Be
0.830 0.170 0.380 Be
0.830 0.661 0.120 Be
0.830 0.661 0.380 Be
0.333 0.667 0.035 Os
0.333 0.667 0.465 Os
0.667 0.333 0.535 Os
0.667 0.333 0.965 Os
```

The formation energy is -29.7 kJ/mol of atoms. The calculation puts the volume at 9.8 A^3/atom.